CsBa2Co2F9 | GGA+U | relaxed

The structure in extended XYZ format:
```
14
Lattice="3.0005 1.7324 7.1524 -3.0005 1.7324 7.1524 0.0000 -3.4647 7.1524" Properties=species:S:1:pos:R:3 pbc="T T T"
Cs 0.0000 0.0000 0.0000
Ba 0.0000 0.0000 12.4108
Ba 0.0000 0.0000 16.8424
Co 0.0000 0.0000 3.7619
Co 0.0000 0.0000 8.3897
F -1.5482 -0.8939 7.4655
F 0.0000 -1.7528 4.7193
F -1.5180 0.8764 4.7193
F 0.0000 -1.6605 9.7678
F -1.4380 0.8302 9.7678
F 1.5482 -0.8939 7.4654
F 0.0000 1.7878 7.4654
F 1.5180 0.8764 4.7193
F 1.4380 0.8302 9.7679
```

The calculation puts the density of states at the Fermi level at 0.000 states/eV/atom. Its total moment is 6.0 μB/f.u. The uncorrected energy comes out at -5.220 eV/atom.